DFT (GGA-PBE) results for a relaxed Sb2Pb2S7 crystal.

POSCAR file:
```
Sb2Pb2S7
1.0
4.857 -5.782 0.000
4.857 5.782 0.000
-1.143 0.000 6.106
Sb Pb S
2 2 7
Direct
0.240 0.240 0.419 Sb
0.760 0.760 0.581 Sb
0.293 0.707 0.000 Pb
0.707 0.293 0.000 Pb
0.000 0.000 0.500 S
0.086 0.435 0.230 S
0.407 0.407 0.749 S
0.435 0.086 0.230 S
0.565 0.914 0.770 S
0.593 0.593 0.251 S
0.914 0.565 0.770 S
```

Properties
Space group = C2/m (12)
Raw formation energy = -77 meV per atom
V = 343 Å³/cell
Mass density = 4.27 g/cm3


DFT (GGA-PBE) results for a relaxed AcSm7Tm2 crystal.

POSCAR file:
```
AcSm7Tm2
1.0
4.483 -7.949 0.000
4.483 7.949 0.000
0.000 0.000 5.838
Ac Sm Tm
1 7 2
Direct
0.000 0.000 0.000 Ac
0.059 0.301 0.500 Sm
0.237 0.763 0.000 Sm
0.301 0.059 0.500 Sm
0.500 0.500 0.500 Sm
0.699 0.941 0.500 Sm
0.763 0.237 0.000 Sm
0.941 0.699 0.500 Sm
0.297 0.703 0.500 Tm
0.703 0.297 0.500 Tm
```

Properties
Space group = Cmmm (65)
Energy of formation = 0.636 eV/atom
V = 416 Å³/cell
Mass density = 6.46 g/cm3


DFT (GGA-PBE) results for a relaxed BeCdCl4 crystal.

POSCAR file:
```
BeCdCl4
1.0
0.000 4.203 4.203
4.203 0.000 4.203
4.203 4.203 0.000
Be Cd Cl
1 1 4
Direct
0.000 0.000 0.000 Be
0.750 0.750 0.750 Cd
0.376 0.376 0.376 Cl
0.376 0.376 0.873 Cl
0.376 0.873 0.376 Cl
0.873 0.376 0.376 Cl
```

Properties
Space group = F-43m (216)
Raw formation energy = 778 meV per atom
V = 149 Å³/cell
Mass density = 2.94 g/cm3


DFT (GGA-PBE) results for a relaxed Na4LaTm3Se8 crystal.

POSCAR file:
```
Na4LaTm3Se8
1.0
4.169 2.407 7.001
-4.169 2.407 7.001
0.000 -4.813 7.001
Na La Tm Se
4 1 3 8
Direct
0.000 0.000 0.000 Na
0.000 0.500 0.500 Na
0.500 0.000 0.500 Na
0.500 0.500 0.000 Na
0.500 0.500 0.500 La
0.000 0.000 0.500 Tm
0.000 0.500 0.000 Tm
0.500 0.000 0.000 Tm
0.231 0.750 0.750 Se
0.242 0.242 0.242 Se
0.250 0.250 0.769 Se
0.250 0.769 0.250 Se
0.750 0.231 0.750 Se
0.750 0.750 0.231 Se
0.758 0.758 0.758 Se
0.769 0.250 0.250 Se
```

Properties
Space group = R-3m (166)
Raw formation energy = -1704 meV per atom
V = 421 Å³/cell
Mass density = 5.40 g/cm3


DFT (GGA-PBE) results for a relaxed La6IrRh2Br2 crystal.

POSCAR file:
```
La6IrRh2Br2
1.0
3.646 -6.328 0.000
3.646 6.328 0.000
-2.438 0.000 7.730
La Ir Rh Br
6 1 2 2
Direct
0.101 0.431 0.800 La
0.233 0.233 0.199 La
0.431 0.101 0.800 La
0.569 0.899 0.200 La
0.767 0.767 0.801 La
0.899 0.569 0.200 La
0.500 0.500 0.000 Ir
0.169 0.831 0.000 Rh
0.831 0.169 0.000 Rh
0.334 0.666 0.500 Br
0.666 0.334 0.500 Br
```

Properties
Space group = C2/m (12)
Raw formation energy = -1004 meV per atom
V = 357 Å³/cell
Mass density = 6.48 g/cm3


DFT (GGA-PBE) results for a relaxed AlCrCo2 crystal.

POSCAR file:
```
AlCrCo2
1.0
4.038 -1.289 0.000
4.038 1.289 0.000
-0.717 0.000 4.501
Al Cr Co
1 1 2
Direct
0.000 0.000 0.000 Al
0.500 0.500 0.500 Cr
0.249 0.249 0.737 Co
0.751 0.751 0.263 Co
```

Properties
Space group = C2/m (12)
Energy of formation = -0.056 eV/atom
V = 47 Å³/cell
Mass density = 6.98 g/cm3


DFT (GGA-PBE) results for a relaxed Sm3DyY2Ho6 crystal.

POSCAR file:
```
Sm3DyY2Ho6
1.0
3.085 -5.340 0.000
3.085 5.340 0.000
-2.047 0.000 11.603
Sm Dy Y Ho
3 1 2 6
Direct
0.000 0.000 0.000 Sm
0.333 0.667 0.000 Sm
0.667 0.333 0.000 Sm
0.500 0.500 0.500 Dy
0.167 0.833 0.500 Y
0.833 0.167 0.500 Y
0.084 0.417 0.252 Ho
0.250 0.250 0.748 Ho
0.417 0.084 0.252 Ho
0.583 0.916 0.748 Ho
0.750 0.750 0.252 Ho
0.916 0.583 0.748 Ho
```

Properties
Space group = C2/m (12)
Energy of formation = 0.019 eV/atom
V = 382 Å³/cell
Mass density = 7.74 g/cm3


DFT (GGA-PBE) results for a relaxed TbEuAl2 crystal.

POSCAR file:
```
TbEuAl2
1.0
0.000 3.689 3.689
3.689 0.000 3.689
3.689 3.689 0.000
Tb Eu Al
1 1 2
Direct
0.000 0.000 0.000 Tb
0.500 0.500 0.500 Eu
0.250 0.250 0.250 Al
0.750 0.750 0.750 Al
```

Properties
Space group = Fm-3m (225)
Energy of formation = -0.281 eV/atom
V = 100 Å³/cell
Mass density = 6.04 g/cm3